Record 1
! PBE CuIr2Rh2, optimized geometry; values from VASP
&SYSTEM
  ibrav = 0, nat = 10, ntyp = 3
/
ATOMIC_SPECIES
Rh 102.91 Rh.upf
Ir 192.22 Ir.upf
Cu 63.55 Cu.upf
CELL_PARAMETERS angstrom
-3.7639 -3.9739 -5.1793
6.5259 -2.1313 -3.1072
0.0625 -2.1728 1.6217
ATOMIC_POSITIONS crystal
Rh 0.1220 0.3780 0.0000
Rh 0.8780 0.6220 0.0000
Rh 0.6220 0.1220 0.0000
Rh 0.3780 0.8780 0.0000
Ir 0.6755 0.8245 0.5000
Ir 0.1755 0.6755 0.5000
Ir 0.3245 0.1755 0.5000
Ir 0.8245 0.3245 0.5000
Cu 0.5000 0.5000 0.0000
Cu 0.0000 0.0000 0.0000
! Energy of formation from the pure elements ... 0.376 eV per atom
! Calculated density ... 14.1 g cm⁻³
! V ... 77.0 Å³/f.u.
! Distance to the lowest polymorph of the same formula ... 334 meV per atom
! Magnetization ... 0.0 μB per cell

***

Record 2
! PBE CuIr2Rh, optimized geometry; values from VASP
&SYSTEM
  ibrav = 0, nat = 4, ntyp = 3
/
ATOMIC_SPECIES
Ir 192.22 Ir.upf
Cu 63.55 Cu.upf
Rh 102.91 Rh.upf
CELL_PARAMETERS angstrom
5.2971 0.0346 0.0057
2.5981 4.6163 -0.0057
-3.3107 -3.4066 2.3440
ATOMIC_POSITIONS crystal
Ir 0.2471 0.7471 0.5000
Ir 0.0050 0.0050 0.0000
Cu 0.7520 0.2520 0.5000
Rh 0.4960 0.4960 0.0000
! Energy of formation from the pure elements ... 0.231 eV per atom
! Calculated density ... 16.0 g cm⁻³
! V ... 57.0 Å³/f.u.
! Distance to the lowest polymorph of the same formula ... 189 meV per atom
! Magnetization ... 0.0 μB per cell

***

Record 3
! PBE CuIr2Rh, optimized geometry; values from VASP
&SYSTEM
  ibrav = 0, nat = 4, ntyp = 3
/
ATOMIC_SPECIES
Rh 102.91 Rh.upf
Cu 63.55 Cu.upf
Ir 192.22 Ir.upf
CELL_PARAMETERS angstrom
2.7306 0.0000 0.0000
0.0000 4.5644 0.0000
0.0000 0.0000 4.5735
ATOMIC_POSITIONS crystal
Rh 0.5000 0.5000 0.0000
Cu 0.0000 0.5000 0.5000
Ir 0.0000 0.0000 0.0000
Ir 0.5000 0.0000 0.5000
! Energy of formation from the pure elements ... 0.248 eV per atom
! Calculated density ... 16.0 g cm⁻³
! V ... 57.0 Å³/f.u.
! Distance to the lowest polymorph of the same formula ... 206 meV per atom
! Magnetization ... 0.0 μB per cell

***

Record 4
! PBE Cu2IrRh, optimized geometry; values from VASP
&SYSTEM
  ibrav = 0, nat = 4, ntyp = 3
/
ATOMIC_SPECIES
Cu 63.55 Cu.upf
Rh 102.91 Rh.upf
Ir 192.22 Ir.upf
CELL_PARAMETERS angstrom
2.7186 0.0000 0.0000
0.0000 2.7186 0.0000
0.0000 0.0000 7.2105
ATOMIC_POSITIONS crystal
Cu 0.0000 0.0000 0.0098
Cu 0.5000 0.5000 0.2404
Rh 0.5000 0.5000 0.7522
Ir 0.0000 0.0000 0.4976
! Energy of formation from the pure elements ... 0.049 eV per atom
! Calculated density ... 13.2 g cm⁻³
! V ... 53.3 Å³/f.u.
! Distance to the lowest polymorph of the same formula ... 0 meV per atom
! Magnetization ... 0.0 μB per cell

***

Record 5
! PBE CuIrRh2, optimized geometry; values from VASP
&SYSTEM
  ibrav = 0, nat = 4, ntyp = 3
/
ATOMIC_SPECIES
Cu 63.55 Cu.upf
Rh 102.91 Rh.upf
Ir 192.22 Ir.upf
CELL_PARAMETERS angstrom
3.7821 0.0000 0.0000
0.0000 2.7305 0.0203
0.0000 2.6913 5.3805
ATOMIC_POSITIONS crystal
Cu 0.5000 0.2500 0.2500
Rh 0.0000 0.5017 0.4982
Rh 0.0000 0.9983 0.0018
Ir 0.5000 0.7500 0.7500
! Energy of formation from the pure elements ... 0.033 eV per atom
! Calculated density ... 13.8 g cm⁻³
! V ... 55.4 Å³/f.u.
! Distance to the lowest polymorph of the same formula ... 12 meV per atom
! Magnetization ... 0.0 μB per cell

***

Record 6
! PBE CuIr2Rh, optimized geometry; values from VASP
&SYSTEM
  ibrav = 0, nat = 4, ntyp = 3
/
ATOMIC_SPECIES
Ir 192.22 Ir.upf
Cu 63.55 Cu.upf
Rh 102.91 Rh.upf
CELL_PARAMETERS angstrom
-0.3842 2.3303 3.6109
-3.8867 1.3654 1.2831
-1.8484 -1.7326 3.4992
ATOMIC_POSITIONS crystal
Ir 0.2501 0.2501 0.2498
Ir 0.0003 0.0003 0.9991
Cu 0.7498 0.7498 0.7507
Rh 0.4999 0.4999 0.5003
! Energy of formation from the pure elements ... 0.321 eV per atom
! Calculated density ... 16.1 g cm⁻³
! V ... 56.9 Å³/f.u.
! Distance to the lowest polymorph of the same formula ... 278 meV per atom
! Magnetization ... 0.4 μB per cell